# 1
# meta-GGA SCAN BaSr7Fe8O24, single point on PBEsol structure
data_BaSr7Fe8O24
_chemical_formula_sum 'Ba1 Sr7 Fe8 O24'
_cell_length_a 7.603
_cell_length_b 7.603
_cell_length_c 7.603
_cell_angle_alpha 90.00
_cell_angle_beta 90.00
_cell_angle_gamma 90.00
_space_group_name_H-M_alt 'P m -3 m'
_space_group_IT_number 221
_space_group_name_Hall '-P 4 2 3'
loop_
_atom_site_label
_atom_site_type_symbol
_atom_site_fract_x
_atom_site_fract_y
_atom_site_fract_z
_atom_site_occupancy
Ba1 Ba 0.000 0.000 0.000 1
Sr1 Sr 0.000 0.000 0.500 1
Sr2 Sr 0.000 0.500 0.500 1
Sr3 Sr 0.500 0.500 0.500 1
Fe1 Fe 0.251 0.251 0.251 1
O1 O 0.000 0.254 0.254 1
O2 O 0.251 0.251 0.500 1
# E_tot	-14.547	eV per atom
# E_form (uncorrected)	-2.296	eV/atom
# size of the total moment	0.7630	μB/atom

***

# 2
# meta-GGA SCAN Er2CdPd2, single point on PBEsol structure
data_Er2CdPd2
_chemical_formula_sum 'Er4 Cd2 Pd4'
_cell_length_a 7.543
_cell_length_b 7.543
_cell_length_c 3.613
_cell_angle_alpha 90.00
_cell_angle_beta 90.00
_cell_angle_gamma 90.00
_space_group_name_H-M_alt 'P 4/m b m'
_space_group_IT_number 127
_space_group_name_Hall '-P 4 2ab'
loop_
_atom_site_label
_atom_site_type_symbol
_atom_site_fract_x
_atom_site_fract_y
_atom_site_fract_z
_atom_site_occupancy
Er1 Er 0.171 0.329 0.000 1
Cd1 Cd 0.000 0.000 0.500 1
Pd1 Pd 0.129 0.629 0.500 1
# E_tot	-40.230	eV per atom
# energy of formation from the pure elements	-901.0	meV per atom
# size of the total moment	0.0000	μB/atom